Entry 1:
A geometry-optimized RbLiO2F structure. Source: Alexandria via LeMat-Bulk, functional GGA-PBEsol.

```
RbLiO2F
1.0
3.979 0.000 0.000
0.000 3.979 0.000
0.000 0.000 4.246
Rb Li O F
1 1 2 1
Cartesian
0.000 0.000 0.000
1.990 1.990 2.123
0.000 1.990 2.123
1.990 0.000 2.123
1.990 1.990 0.000
```

## Properties
Size of the total moment (μB/atom): 0.60
Volume (A^3/atom): 13.45
ΔE_f (raw) (eV/atom): -0.91

=====

Entry 2:
A geometry-optimized LiReO2F4 structure. Source: Alexandria via LeMat-Bulk, functional GGA-PBEsol.

```
LiReO2F4
1.0
4.725 0.000 0.000
0.000 4.725 0.000
0.000 0.000 8.954
Li Re O F
2 2 4 8
Cartesian
0.000 2.362 0.717
2.362 0.000 8.237
0.000 2.362 6.508
2.362 0.000 2.446
0.939 3.302 5.441
1.423 0.939 3.513
3.302 3.786 3.513
3.786 1.423 5.441
0.881 3.243 8.114
1.048 3.410 2.125
1.315 1.048 6.829
1.481 0.881 0.840
3.243 3.844 0.840
3.410 3.677 6.829
3.677 1.315 2.125
3.844 1.481 8.114
```

## Properties
Size of the total moment (μB/atom): 0.01
Volume (A^3/atom): 12.49
ΔE_f (raw) (eV/atom): -2.20